(1)
! PBE-GGA InFeOs2, relaxed; values from VASP
! Theoretical density, g/cm³: 14.84
! DFT total energy, eV/atom: -8.1220
! Energy relative to the elements, eV per atom: 0.29
&SYSTEM
  ibrav = 0, nat = 4, ntyp = 3
/
ATOMIC_SPECIES
Fe 55.84 Fe.upf
Os 190.23 Os.upf
In 114.82 In.upf
ATOMIC_POSITIONS angstrom
Fe 0.980 3.593 -0.312
Os 0.226 2.073 1.803
In 1.241 5.793 1.480
Os 0.052 0.192 -0.017
CELL_PARAMETERS angstrom
-2.179 0.737 1.636
1.634 -0.247 2.288
2.030 7.441 -0.647



(2)
! PBE-GGA DyTh2Fe, relaxed; values from VASP
! Polymorph energy (0 for the lowest one), meV per atom: 0
! Theoretical density, g/cm³: 10.71
! DFT total energy, eV/atom: -7.0385
! Energy relative to the elements, eV per atom: -0.06
&SYSTEM
  ibrav = 0, nat = 16, ntyp = 3
/
ATOMIC_SPECIES
Th 232.04 Th.upf
Dy 162.50 Dy.upf
Fe 55.84 Fe.upf
ATOMIC_POSITIONS angstrom
Th 4.184 5.812 5.540
Dy 2.167 3.158 7.309
Dy 0.941 6.652 7.309
Dy 5.275 0.336 2.436
Th 1.076 4.670 0.668
Fe 0.719 2.783 2.436
Th 5.140 2.318 9.077
Th 2.032 1.176 0.668
Th 2.032 1.176 4.205
Fe 2.389 6.277 2.436
Fe 5.497 4.206 7.309
Fe 3.826 0.711 7.309
Dy 4.049 3.830 2.436
Th 4.184 5.812 9.077
Th 1.076 4.670 4.205
Th 5.140 2.318 5.540
CELL_PARAMETERS angstrom
6.216 0.000 0.000
0.000 6.988 0.000
0.000 0.000 9.745



(3)
! PBE-GGA BeOs2Ru, relaxed; values from VASP
! Theoretical density, g/cm³: 16.20
! DFT total energy, eV/atom: -8.9154
! Energy relative to the elements, eV per atom: -0.05
&SYSTEM
  ibrav = 0, nat = 4, ntyp = 3
/
ATOMIC_SPECIES
Be 9.01 Be.upf
Os 190.23 Os.upf
Ru 101.07 Ru.upf
ATOMIC_POSITIONS angstrom
Be 3.441 -3.396 2.042
Os 0.597 -1.926 1.567
Ru 3.059 -1.581 0.512
Os 5.528 -2.856 0.924
CELL_PARAMETERS angstrom
-0.407 0.103 2.748
-1.263 -2.475 -0.094
5.718 -2.955 0.956



(4)
! PBE-GGA KFeNi, relaxed; values from VASP
! Polymorph energy (0 for the lowest one), meV per atom: 1345
! Theoretical density, g/cm³: 3.33
! DFT total energy, eV/atom: -3.1190
! Energy relative to the elements, eV per atom: 1.99
&SYSTEM
  ibrav = 0, nat = 3, ntyp = 3
/
ATOMIC_SPECIES
Ni 58.69 Ni.upf
Fe 55.84 Fe.upf
K 39.10 K.upf
ATOMIC_POSITIONS angstrom
Ni 0.000 0.000 0.000
Fe -2.676 -3.665 3.671
K -4.014 -5.498 5.507
CELL_PARAMETERS angstrom
-4.095 -2.238 0.968
0.064 -4.392 1.849
-1.321 -0.700 4.526